Entry 1:
First-principles (PBE) data for an optimized crystal structure of Li4Mg2Cl, as listed in the Alexandria database.

Computed properties:
- spin magnetization (μB per formula unit) = 0.000

Cell: 4.473 4.473 16.384 Å, 90.00 90.00 90.00°
Space group I4/mmm (No. 139)
Asymmetric unit:
Li 0.000 0.000 0.147
Li 0.000 0.500 0.000
Mg 0.000 0.000 0.329
Cl 0.000 0.000 0.000



Entry 2:
First-principles (PBE) data for an optimized crystal structure of Li2MgCl, as listed in the Alexandria database.

Computed properties:
- distance to the lowest polymorph of the same formula (eV per formula unit) = 0.785
- spin magnetization (μB per formula unit) = 0.000

Cell: 3.534 5.643 8.716 Å, 90.00 90.00 90.00°
Space group Cmm2 (No. 35)
Asymmetric unit:
Li 0.000 0.000 0.000
Li 0.000 0.500 0.304
Mg 0.000 0.500 0.733
Cl 0.000 0.000 0.480



Entry 3:
First-principles (PBE) data for an optimized crystal structure of Li5Mg3Cl12, as listed in the Alexandria database.

Computed properties:
- spin magnetization (μB per formula unit) = 0.017

Cell: 14.914 14.914 14.914 Å, 90.00 90.00 90.00°
Space group Ia-3d (No. 230)
Asymmetric unit:
Li 0.000 0.000 0.000
Li 0.000 0.250 0.375
Mg 0.000 0.250 0.125
Cl 0.025 0.067 0.654



Entry 4:
First-principles (PBE) data for an optimized crystal structure of Li5MgCl8, as listed in the Alexandria database.

Computed properties:
- spin magnetization (μB per formula unit) = 0.430

Cell: 10.518 10.518 10.518 Å, 90.00 90.00 90.00°
Space group F-43m (No. 216)
Asymmetric unit:
Li 0.000 0.000 0.000
Li 0.129 0.129 0.629
Mg 0.250 0.250 0.250
Cl 0.120 0.120 0.380
Cl 0.131 0.131 0.869



Entry 5:
First-principles (PBE) data for an optimized crystal structure of LiMg2Cl, as listed in the Alexandria database.

Computed properties:
- distance to the lowest polymorph of the same formula (eV per formula unit) = 0.180
- spin magnetization (μB per formula unit) = 0.000

Cell: 3.564 5.607 8.679 Å, 90.00 90.00 90.00°
Space group Cmm2 (No. 35)
Asymmetric unit:
Li 0.000 0.000 0.000
Mg 0.000 0.000 0.426
Mg 0.000 0.500 0.711
Cl 0.000 0.500 0.179



Entry 6:
First-principles (PBE) data for an optimized crystal structure of LiMgCl, as listed in the Alexandria database.

Computed properties:
- distance to the lowest polymorph of the same formula (eV per formula unit) = 0.005
- spin magnetization (μB per formula unit) = 0.000

Cell: 3.5338 3.5338 35.1043 Å, 90.00 90.00 120.00°
Space group R3m (No. 160, hexagonal axes)
Asymmetric unit:
Li 0.0000 0.0000 0.0000
Li 0.0000 0.0000 0.4200
Mg 0.0000 0.0000 0.1935
Mg 0.0000 0.0000 0.5927
Cl 0.0000 0.0000 0.1226
Cl 0.0000 0.0000 0.7035



Entry 7:
First-principles (PBE) data for an optimized crystal structure of Li4MgCl, as listed in the Alexandria database.

Computed properties:
- spin magnetization (μB per formula unit) = 0.848

Cell: 8.119 8.119 8.119 Å, 90.00 90.00 90.00°
Space group F-43m (No. 216)
Asymmetric unit:
Li 0.124 0.124 0.124
Mg 0.250 0.250 0.750
Cl 0.000 0.000 0.500



Entry 8:
First-principles (PBE) data for an optimized crystal structure of Li2MgCl, as listed in the Alexandria database.

Computed properties:
- distance to the lowest polymorph of the same formula (eV per formula unit) = 0.195
- spin magnetization (μB per formula unit) = 0.000

Cell: 3.460 5.730 8.550 Å, 90.00 90.00 90.00°
Space group Cmmm (No. 65)
Asymmetric unit:
Li 0.000 0.000 0.191
Mg 0.000 0.500 0.500
Cl 0.000 0.500 0.000



Entry 9:
First-principles (PBE) data for an optimized crystal structure of LiMg2Cl, as listed in the Alexandria database.

Computed properties:
- distance to the lowest polymorph of the same formula (eV per formula unit) = 0.462
- spin magnetization (μB per formula unit) = 0.000

Cell: 3.3837 3.3837 26.0337 Å, 90.00 90.00 120.00°
Space group R-3m (No. 166, hexagonal axes)
Asymmetric unit:
Li 0.0000 0.0000 0.0000
Mg 0.0000 0.0000 0.2452
Cl 0.0000 0.0000 0.5000



Entry 10:
First-principles (PBE) data for an optimized crystal structure of Li2MgCl, as listed in the Alexandria database.

Computed properties:
- distance to the lowest polymorph of the same formula (eV per formula unit) = 1.136
- spin magnetization (μB per formula unit) = 0.000

Cell: 3.791 3.791 12.253 Å, 90.00 90.00 90.00°
Space group I-4m2 (No. 119)
Asymmetric unit:
Li 0.000 0.000 0.000
Li 0.000 0.500 0.250
Mg 0.000 0.500 0.750
Cl 0.000 0.000 0.500



Entry 11:
First-principles (PBE) data for an optimized crystal structure of Li2MgCl, as listed in the Alexandria database.

Computed properties:
- distance to the lowest polymorph of the same formula (eV per formula unit) = 1.187
- spin magnetization (μB per formula unit) = 0.000

Cell: 5.831 8.573 3.260 Å, 90.00 90.16 90.00°
Space group C2/m (No. 12)
Asymmetric unit:
Li 0.250 0.250 0.000
Mg 0.000 0.000 0.500
Cl 0.000 0.500 0.500



Entry 12:
First-principles (PBE) data for an optimized crystal structure of LiMgCl, as listed in the Alexandria database.

Computed properties:
- distance to the lowest polymorph of the same formula (eV per formula unit) = 0.406
- spin magnetization (μB per formula unit) = 0.000

Cell: 3.4959 3.4959 5.9358 Å, 90.00 90.00 120.00°
Space group P3m1 (No. 156)
Asymmetric unit:
Li 0.0000 0.0000 0.0000
Mg 0.6667 0.3333 0.4067
Cl 0.3333 0.6667 0.7727



So what do the calculations give for DOS at the Fermi energy? Going down the list: 0.387; 0.215; 1.130; 1.384; 0.234; 0.216; 0.275; 0.105; 0.251; 0.410; 0.361; 0.086 states/eV per atom.
So what do the calculations give for raw formation energy? Going down the list: -1.86; -2.42; -30.31; -22.33; -2.32; -3.09; -0.72; -3.01; -2.04; -2.07; -2.02; -2.69 eV/f.u..